No. 1
The following is a PBE-GGA calculation of crystalline Re2TeCl at its relaxed geometry, from Alexandria.

POSCAR file:
```
Re2TeCl
1.0
7.4671 0.1210 -0.0175
5.7145 4.8079 0.0175
-6.3141 -3.2045 2.3740
Re Te Cl
2 1 1
Cartesian
2.4531 1.8311 1.1957
0.7879 0.2946 0.0000
6.2563 2.3394 0.0000
3.9611 -0.2762 1.1782
```

Computed properties:
Total magnetic moment (μB per formula unit): 0.0
Energy relative to the lowest polymorph listed for this composition (meV/atom): 794.7
Symmetry: Imm2 (44)
Formation energy without anion corrections (eV per atom): 0.863
Electronic total energy (eV/atom): -6.6081

***

No. 2
The following is a PBE-GGA calculation of crystalline Re3Te8Cl3 at its relaxed geometry, from Alexandria.

POSCAR file:
```
Re3Te8Cl3
1.0
-1.4123 6.2380 -5.9068
-9.1834 -4.9521 -3.0341
-9.6542 10.0110 12.8808
Cl Te Re
12 32 12
Cartesian
-12.5429 2.8285 -5.3542
-10.6797 9.0370 4.8220
-10.5973 7.0163 7.5809
-13.8802 4.9818 7.7207
-6.6252 5.9131 -2.6408
-8.9836 1.2002 -0.6380
-3.2576 5.1313 1.2739
-9.5337 4.6090 -4.8263
-6.4061 3.9662 0.1633
-14.2936 8.4643 3.5776
-7.9084 11.0641 5.6672
-16.7908 3.5700 6.2928
-10.2117 -0.7948 0.1816
-6.8332 7.2834 4.5944
-10.5976 5.2606 3.3467
-12.0848 2.4257 1.0016
-10.8989 9.3193 10.4813
-7.4566 1.2703 -6.2410
-11.1958 12.4968 6.1557
-8.9042 8.3806 1.0965
-5.7612 2.2364 -3.2262
-4.4845 3.9679 4.6908
-9.9765 5.8615 0.4860
-14.8171 12.5339 5.6206
-9.5004 9.1473 6.9363
-12.3264 9.2052 0.3856
-7.7177 11.6687 1.9079
-13.3357 9.6823 7.5470
-15.9700 8.8930 1.7984
-7.9092 4.7694 3.9788
-10.3580 -0.2395 -4.7644
-3.6113 5.0728 -4.6451
-13.9020 3.8976 4.1374
-5.1085 -1.0622 -1.5737
-16.2297 8.1735 9.0455
-6.2157 7.8967 1.7246
-3.3324 1.8855 -0.3254
-8.8718 -3.0861 -2.8229
-4.8176 5.3484 -1.0366
-12.0696 4.3139 -2.0880
-18.5791 10.4999 4.3836
-13.9048 5.7761 1.0419
-17.9395 7.1968 6.0454
-9.0764 1.4701 3.1733
-13.3120 12.3952 7.8956
-3.4520 3.4522 -2.5026
-11.4906 2.6953 3.6323
-11.0185 13.6274 8.6460
-14.5926 7.9446 -0.3955
-13.7846 1.4655 2.8796
-12.2007 6.7459 -0.8294
-11.0678 10.9347 8.3357
-11.3874 0.2623 2.4421
-3.4964 0.7575 -2.8187
-1.2099 1.9951 -2.0559
-14.4867 5.5059 -1.5900
```

Computed properties:
Total magnetic moment (μB per formula unit): 0.0
Symmetry: P2_12_12 (18)
Formation energy without anion corrections (eV per atom): -0.295
Electronic total energy (eV/atom): -5.1533

***

No. 3
The following is a PBE-GGA calculation of crystalline ReTe2Cl at its relaxed geometry, from Alexandria.

POSCAR file:
```
ReTe2Cl
1.0
-1.0816 2.4630 -2.0093
-1.5833 -2.6881 -2.4428
-6.4704 0.3056 3.8575
Re Cl Te
1 1 2
Cartesian
-6.6773 0.1398 0.9604
-3.5316 0.1668 2.1054
-6.0864 0.2874 3.6285
-2.5457 -0.0553 -1.5027
```

Computed properties:
Total magnetic moment (μB per formula unit): 0.0
Energy relative to the lowest polymorph listed for this composition (meV/atom): 607.1
Symmetry: Pmm2 (25)
Formation energy without anion corrections (eV per atom): 0.669
Electronic total energy (eV/atom): -4.4755

***

No. 4
The following is a PBE-GGA calculation of crystalline ReTe2Cl4 at its relaxed geometry, from Alexandria.

POSCAR file:
```
ReTe2Cl4
1.0
10.9608 -0.1355 0.0000
-1.2608 10.8889 0.0000
-4.8500 -5.3767 8.2296
Cl Re Te
16 4 8
Cartesian
-0.7664 2.3908 5.1792
8.6254 1.7641 1.0507
5.0100 -1.2908 6.8795
0.8832 -0.5895 3.0065
1.4198 -2.9802 6.0592
1.1459 3.6811 7.4189
7.3069 4.8600 3.0504
4.1729 6.1947 5.2231
-3.9814 3.3842 7.1790
4.3122 -0.6614 1.3501
-1.7429 -3.1426 6.6148
8.3939 6.8947 0.8108
1.7398 6.4828 2.1704
1.9031 3.3202 1.6148
4.2469 2.6924 4.5847
8.3527 -1.0112 3.6449
6.4272 5.3370 0.7369
-0.1406 -1.2561 7.0319
-0.2015 1.5647 7.4927
3.6151 5.1078 1.1977
5.0008 7.2425 1.8651
-0.5577 -1.9222 4.3888
2.9952 4.6245 3.8409
-1.6457 3.9099 7.3562
8.9083 4.1413 0.8734
-2.3805 0.1455 7.0919
1.8404 0.3416 6.3645
5.2393 3.0238 1.1378
```

Computed properties:
Total magnetic moment (μB per formula unit): 0.0
Symmetry: I-4 (82)
Formation energy without anion corrections (eV per atom): -0.528
Electronic total energy (eV/atom): -4.2594

***

No. 5
The following is a PBE-GGA calculation of crystalline Re2TeCl at its relaxed geometry, from Alexandria.

POSCAR file:
```
Re2TeCl
1.0
2.9811 -0.0026 0.0000
-1.5366 2.5546 0.0000
0.0000 0.0000 9.2892
Cl Re Te
1 2 1
Cartesian
0.7223 1.2760 6.9669
0.0000 0.0000 9.1688
0.0000 0.0000 4.7650
0.7223 1.2760 2.3223
```

Computed properties:
Total magnetic moment (μB per formula unit): 0.0
Energy relative to the lowest polymorph listed for this composition (meV/atom): 1241.0
Symmetry: Cmmm (65)
Formation energy without anion corrections (eV per atom): 1.309
Electronic total energy (eV/atom): -6.1619

***

No. 6
The following is a PBE-GGA calculation of crystalline ReTe2Cl12 at its relaxed geometry, from Alexandria.

POSCAR file:
```
ReTe2Cl12
1.0
-12.5775 2.1717 -6.6689
-13.4081 -4.3237 2.9856
-11.8641 7.2086 3.8292
Cl Te Re
36 6 3
Cartesian
-8.0060 1.2826 -1.8991
-23.7310 1.1570 -1.0366
-27.3292 1.8687 0.9162
-29.8437 3.7740 2.0451
-14.6442 -0.0350 1.2202
-16.7616 6.0525 2.3352
-17.5826 2.2888 2.0137
-23.2055 5.0917 -1.0743
-7.8149 2.6239 1.1789
-10.7352 2.0957 -4.2351
-30.0348 2.4328 -1.0329
-20.5722 2.6729 4.4869
-20.4913 1.0073 0.9994
-17.7730 -1.5143 2.2056
-14.1187 3.8997 1.1826
-27.0818 3.8000 -1.8314
-14.3988 1.9017 -2.2364
-26.5159 7.6100 -1.4662
-29.5907 5.7461 -0.6671
-17.8051 0.7086 -0.9568
-27.5012 0.2681 -2.6020
-26.8840 5.1921 1.2286
-11.3337 -2.5533 1.6122
-17.2775 2.3837 -4.3409
-20.0767 6.5709 -2.0596
-10.5205 3.1879 -0.7703
-10.7679 1.2566 1.9773
-21.0881 -0.9959 -2.1892
-8.2590 -0.6895 0.8131
-17.3584 4.0494 -0.8535
-10.3485 4.7885 2.7479
-23.4509 3.1549 2.3823
-10.9657 -0.1354 -1.0827
-20.2671 2.7679 -1.8678
-20.0446 4.3480 1.1028
-27.1145 2.9609 4.3811
-16.0245 0.6252 -3.3931
-15.3152 5.8219 0.4870
-16.0976 -0.1095 3.0891
-22.5345 -0.7652 -0.3410
-21.7521 5.1662 -2.9431
-21.8252 4.4315 3.5391
-28.4535 3.8013 0.1097
-9.3961 1.2553 0.0362
-18.9248 2.5283 0.0730
```

Computed properties:
Total magnetic moment (μB per formula unit): 3.0
Energy relative to the lowest polymorph listed for this composition (meV/atom): 0.0
Symmetry: R-3 (148)
Formation energy without anion corrections (eV per atom): -0.607
Electronic total energy (eV/atom): -3.3330